No. 1
DFT (PBE-GGA) results for a geometry-optimized Ce2Ga3CuNi4 structure.

abc: 3.905 3.905 10.798
angles: 90.00 90.00 90.00
Fractional positions:
Ce: 0.500 0.000 0.262
Ce: 0.000 0.500 0.738
Ga: 0.500 0.000 0.871
Ga: 0.000 0.500 0.129
Ga: 0.000 0.000 0.500
Cu: 0.500 0.500 0.500
Ni: 0.000 0.500 0.355
Ni: 0.500 0.500 0.000
Ni: 0.000 0.000 0.000
Ni: 0.500 0.000 0.645

Magnetic moment = 0.51 μB per formula unit
V = 164.6 Å³/cell
Crystal system = tetragonal
Uncorrected energy = -0.387 Ry per atom
Calculated formation energy = -0.449 eV per atom



No. 2
DFT (PBE-GGA) results for a geometry-optimized LaAlIrSe2 structure.

abc: 4.621 6.393 4.621
angles: 90.00 90.00 90.00
Fractional positions:
La: 0.000 0.500 0.000
Se: 0.500 0.000 0.000
Se: 0.000 0.000 0.500
Ir: 0.500 0.500 0.500
Al: 0.000 0.000 0.000

ΔE_f (raw) = 0.399 eV per atom
Magnetic moment = 0.99 μB per formula unit
V = 136.5 Å³/cell
Crystal system = tetragonal
Uncorrected energy = -0.331 Ry per atom



No. 3
DFT (PBE-GGA) results for a geometry-optimized Sm2YTh3As6 structure.

abc: 4.229 8.417 9.433
angles: 102.66 102.95 90.00
Fractional positions:
As: 0.667 0.583 0.334
As: 0.665 0.083 0.330
As: 0.333 0.417 0.666
As: 0.335 0.917 0.670
As: 0.000 0.754 0.000
As: 0.000 0.246 0.000
Th: 0.167 0.833 0.334
Th: 0.500 0.500 0.000
Th: 0.833 0.167 0.666
Sm: 0.167 0.333 0.333
Sm: 0.833 0.667 0.667
Y: 0.500 0.000 0.000

Magnetic moment = 0.00 μB per formula unit
V = 318.8 Å³/cell
Crystal system = monoclinic
Uncorrected energy = -0.513 Ry per atom
Calculated formation energy = -1.478 eV per atom